Below is a relaxed structure of CuNiRh, with properties calculated at the PBE level.

Computed properties:
As for the total DFT energy (no corrections): -5.68 eV/atom. As for the distance to the lowest polymorph of the same formula: 0.0142 eV/atom. The calculated formation energy comes out at 62 meV/atom.

a b c (Å): 2.6365 2.6365 6.2854
angles (deg): 90.00 90.00 120.00
Space group P3m1 (No. 156)
Asymmetric unit:
Cu 0.0000 0.0000 0.0000 [1 per cell]
Ni 0.6667 0.3333 0.3209 [1 per cell]
Rh 0.3333 0.6667 0.6518 [1 per cell]